Computed, not measured: an optimized crystal structure of Y2AuCl at the PBE-GGA level of DFT.

Values from the calculation:
Symmetry: P4/mmm
Formation energy without anion corrections in meV per atom: -1067
ΔE to the lowest computed polymorph in meV per atom: 0.0
Uncorrected energy in eV for the cell shown: -22.32

Structure (POSCAR):
```
Y2AuCl
1.0
4.086 0.000 0.000
0.000 4.089 0.000
0.000 0.000 5.929
Au Y Cl
1 2 1
Direct
0.000 0.000 0.375 Au
0.500 0.500 0.375 Y
0.000 0.000 0.875 Y
0.500 0.500 0.875 Cl
```